--- A ---
{"formula": "LaIr2Rh", "functional": "PBE", "state": "optimized geometry", "rho_g_cm3": 14.4, "lattice_angstrom": [[2.9302, 0.0000, 0.0000], [0.0000, 4.5519, 0.0000], [-0.8683, 0.0000, 5.4236]], "species": ["La", "Ir", "Ir", "Rh"], "fractional_positions": [[0.0000, 0.0000, 0.0000], [0.1607, 0.5000, 0.6163], [0.5844, 0.0000, 0.5089], [0.5316, 0.5000, 0.2019]]}

--- B ---
{"formula": "LaIr2Rh", "functional": "PBE", "state": "optimized geometry", "rho_g_cm3": 14.2, "lattice_angstrom": [[2.8610, 0.0000, 0.0000], [0.0000, 3.9574, 0.0000], [0.0000, 0.0000, 6.4683]], "species": ["La", "Ir", "Ir", "Rh"], "fractional_positions": [[0.0000, 0.0000, 0.0000], [0.5000, 0.5000, 0.3005], [0.5000, 0.5000, 0.6995], [0.0000, 0.0000, 0.5000]]}

--- C ---
{"formula": "LaIr2Rh", "functional": "PBE", "state": "optimized geometry", "rho_g_cm3": 14.3, "lattice_angstrom": [[2.9397, 0.0000, 0.0000], [0.0000, 4.7750, 0.0000], [-1.2570, 0.0000, 5.1671]], "species": ["La", "Ir", "Ir", "Rh"], "fractional_positions": [[0.0000, 0.0000, 0.0000], [0.3491, 0.5000, 0.7136], [0.6509, 0.5000, 0.2864], [0.5000, 0.0000, 0.5000]]}

Pick A: it beats the second-best structure by 4.6 kJ/mol of atoms.

--- A ---
{"formula": "LaIr2Rh", "functional": "PBE", "state": "optimized geometry", "rho_g_cm3": 11.3, "lattice_angstrom": [[4.5427, 0.0000, 0.0000], [0.0000, 4.5427, 0.0000], [0.0000, 0.0000, 17.8343]], "species": ["La", "La", "La", "La", "Ir", "Ir", "Ir", "Ir", "Ir", "Ir", "Ir", "Ir", "Rh", "Rh", "Rh", "Rh"], "fractional_positions": [[0.0000, 0.0000, 0.0000], [0.0000, 0.5000, 0.2500], [0.5000, 0.0000, 0.7500], [0.5000, 0.5000, 0.5000], [0.1012, 0.2500, 0.6250], [0.2500, 0.6012, 0.8750], [0.2500, 0.8988, 0.3750], [0.3988, 0.2500, 0.1250], [0.6012, 0.7500, 0.1250], [0.7500, 0.1012, 0.3750], [0.7500, 0.3988, 0.8750], [0.8988, 0.7500, 0.6250], [0.0000, 0.0000, 0.5000], [0.0000, 0.5000, 0.7500], [0.5000, 0.0000, 0.2500], [0.5000, 0.5000, 0.0000]]}

--- B ---
{"formula": "LaIr2Rh", "functional": "PBE", "state": "optimized geometry", "rho_g_cm3": 14.2, "lattice_angstrom": [[6.6436, 0.0000, 0.0000], [0.0000, 6.6436, 0.0000], [0.0000, 0.0000, 6.6436]], "species": ["La", "La", "La", "La", "Ir", "Ir", "Ir", "Ir", "Ir", "Ir", "Ir", "Ir", "Rh", "Rh", "Rh", "Rh"], "fractional_positions": [[0.0000, 0.0000, 0.0000], [0.0000, 0.5000, 0.5000], [0.5000, 0.0000, 0.5000], [0.5000, 0.5000, 0.0000], [0.0000, 0.0000, 0.5000], [0.0000, 0.5000, 0.0000], [0.2500, 0.2500, 0.7500], [0.2500, 0.7500, 0.2500], [0.5000, 0.0000, 0.0000], [0.5000, 0.5000, 0.5000], [0.7500, 0.2500, 0.2500], [0.7500, 0.7500, 0.7500], [0.2500, 0.2500, 0.2500], [0.2500, 0.7500, 0.7500], [0.7500, 0.2500, 0.7500], [0.7500, 0.7500, 0.2500]]}

--- C ---
{"formula": "LaIr2Rh", "functional": "PBE", "state": "optimized geometry", "rho_g_cm3": 14.4, "lattice_angstrom": [[4.2014, 0.0000, 0.0000], [0.0000, 4.2014, 0.0000], [0.0000, 0.0000, 8.1567]], "species": ["La", "La", "Ir", "Ir", "Ir", "Ir", "Rh", "Rh"], "fractional_positions": [[0.0000, 0.0000, 0.0000], [0.5000, 0.5000, 0.5000], [0.0000, 0.0000, 0.5000], [0.0000, 0.5000, 0.7500], [0.5000, 0.0000, 0.2500], [0.5000, 0.5000, 0.0000], [0.0000, 0.5000, 0.2500], [0.5000, 0.0000, 0.7500]]}

Pick C: it beats the second-best structure by 2.2 kJ/mol of atoms.

--- A ---
{"formula": "LaIr2Rh3", "functional": "PBE", "state": "optimized geometry", "rho_g_cm3": 13.9, "lattice_angstrom": [[2.8319, 1.6350, 7.1807], [-2.8319, 1.6350, 7.1807], [0.0000, -3.2700, 7.1807]], "species": ["La", "La", "Ir", "Ir", "Ir", "Ir", "Rh", "Rh", "Rh", "Rh", "Rh", "Rh"], "fractional_positions": [[0.2160, 0.2160, 0.2160], [0.7840, 0.7840, 0.7840], [0.0000, 0.0000, 0.0000], [0.0000, 0.5000, 0.5000], [0.5000, 0.0000, 0.5000], [0.5000, 0.5000, 0.0000], [0.2398, 0.7268, 0.7268], [0.2732, 0.2732, 0.7602], [0.2732, 0.7602, 0.2732], [0.7268, 0.2398, 0.7268], [0.7268, 0.7268, 0.2398], [0.7602, 0.2732, 0.2732]]}

--- B ---
{"formula": "LaIr2Rh3", "functional": "PBE", "state": "optimized geometry", "rho_g_cm3": 12.9, "lattice_angstrom": [[5.3439, 0.0000, 0.0000], [-2.6720, 4.6280, 0.0000], [0.0000, 0.0000, 4.3462]], "species": ["La", "Ir", "Ir", "Rh", "Rh", "Rh"], "fractional_positions": [[0.0000, 0.0000, 0.0000], [0.3333, 0.6667, 0.0000], [0.6667, 0.3333, 0.0000], [0.0000, 0.5000, 0.5000], [0.5000, 0.0000, 0.5000], [0.5000, 0.5000, 0.5000]]}

Pick B: it beats the second-best structure by 8.3 kJ/mol of atoms.

--- A ---
{"formula": "La3IrRh", "functional": "PBE", "state": "optimized geometry", "rho_g_cm3": 7.0, "lattice_angstrom": [[5.5144, 0.0000, 0.0000], [0.0000, 5.5144, 0.0000], [0.0000, 0.0000, 5.5144]], "species": ["La", "La", "La", "Ir", "Rh"], "fractional_positions": [[0.0000, 0.0000, 0.5000], [0.0000, 0.5000, 0.0000], [0.5000, 0.0000, 0.0000], [0.0000, 0.0000, 0.0000], [0.5000, 0.5000, 0.5000]]}

--- B ---
{"formula": "La3IrRh", "functional": "PBE", "state": "optimized geometry", "rho_g_cm3": 7.8, "lattice_angstrom": [[7.4635, -2.1517, 0.0000], [7.4635, 2.1517, 0.0000], [-2.6799, 0.0000, 9.4066]], "species": ["La", "La", "La", "La", "La", "La", "Ir", "Ir", "Rh", "Rh"], "fractional_positions": [[0.0330, 0.0330, 0.3014], [0.3045, 0.3045, 0.3676], [0.3566, 0.3566, 0.9914], [0.6434, 0.6434, 0.0086], [0.6955, 0.6955, 0.6324], [0.9670, 0.9670, 0.6986], [0.1632, 0.1632, 0.8169], [0.8368, 0.8368, 0.1831], [0.3380, 0.3380, 0.6844], [0.6620, 0.6620, 0.3156]]}

Pick B: it beats the second-best structure by 57.3 kJ/mol of atoms.

--- A ---
{"formula": "LaIr2Rh2", "functional": "PBE", "state": "optimized geometry", "rho_g_cm3": 12.6, "lattice_angstrom": [[4.1873, 0.0000, 0.0000], [0.0000, 4.1873, 0.0000], [0.0000, 0.0000, 10.9569]], "species": ["La", "La", "Ir", "Ir", "Ir", "Ir", "Rh", "Rh", "Rh", "Rh"], "fractional_positions": [[0.0000, 0.0000, 0.0000], [0.5000, 0.5000, 0.5000], [0.0000, 0.0000, 0.3922], [0.0000, 0.0000, 0.6078], [0.5000, 0.5000, 0.1078], [0.5000, 0.5000, 0.8922], [0.0000, 0.5000, 0.2500], [0.0000, 0.5000, 0.7500], [0.5000, 0.0000, 0.2500], [0.5000, 0.0000, 0.7500]]}

--- B ---
{"formula": "LaIr2Rh2", "functional": "PBE", "state": "optimized geometry", "rho_g_cm3": 14.0, "lattice_angstrom": [[7.7823, 0.0000, 0.0000], [0.0000, 7.7823, 0.0000], [0.0000, 0.0000, 2.8624]], "species": ["La", "La", "Ir", "Ir", "Ir", "Ir", "Rh", "Rh", "Rh", "Rh"], "fractional_positions": [[0.0000, 0.0000, 0.0000], [0.5000, 0.5000, 0.0000], [0.1205, 0.3795, 0.0000], [0.3795, 0.8795, 0.0000], [0.6205, 0.1205, 0.0000], [0.8795, 0.6205, 0.0000], [0.1777, 0.6777, 0.5000], [0.3223, 0.1777, 0.5000], [0.6777, 0.8223, 0.5000], [0.8223, 0.3223, 0.5000]]}

Pick A: it beats the second-best structure by 9.6 kJ/mol of atoms.

--- A ---
{"formula": "LaIr3Ru", "functional": "PBE", "state": "optimized geometry", "rho_g_cm3": 12.5, "lattice_angstrom": [[4.7710, 0.0000, 0.0000], [0.0000, 4.7710, 0.0000], [0.0000, 0.0000, 4.7710]], "species": ["La", "Ir", "Ir", "Ir", "Ru"], "fractional_positions": [[0.0000, 0.0000, 0.0000], [0.0000, 0.5000, 0.5000], [0.5000, 0.0000, 0.5000], [0.5000, 0.5000, 0.0000], [0.5000, 0.5000, 0.5000]]}

--- B ---
{"formula": "LaIr3Ru", "functional": "PBE", "state": "optimized geometry", "rho_g_cm3": 12.0, "lattice_angstrom": [[4.8411, 0.0000, 0.0000], [0.0000, 4.8411, 0.0000], [0.0000, 0.0000, 4.8411]], "species": ["La", "Ir", "Ir", "Ir", "Ru"], "fractional_positions": [[0.0000, 0.0000, 0.0000], [0.0000, 0.0000, 0.5000], [0.0000, 0.5000, 0.0000], [0.5000, 0.0000, 0.0000], [0.5000, 0.5000, 0.5000]]}

Pick A: it beats the second-best structure by 177.5 kJ/mol of atoms.